First-principles (GGA-PBE) data for CaYN2O after structural relaxation, as listed in Alexandria.

a b c (Å): 4.502 4.502 4.348
angles (deg): 90.00 90.00 90.00
Element x y z (fractional)
Ca 0.000 0.000 0.000
Y 0.500 0.500 0.500
N 0.000 0.500 0.500
N 0.500 0.000 0.500
O 0.500 0.500 0.000

Computed properties:
SG: No. 123
VASP energy, eV per cell: -32.7